No. 1
A plane-wave DFT calculation with GGA-PBE was carried out for an optimized crystal structure of Mg3Cu2Se7.

The space group is R-3m (No. 166, hexagonal axes) and the conventional cell measures 6.8874, 6.8874 and 20.0805 Å, with angles of 90.00, 90.00 and 120.00 degrees. The asymmetric unit holds Mg at (0.0000, 0.0000, 0.0000), Mg at (0.0000, 0.0000, 0.1580), Cu at (0.0000, 0.0000, 0.3355), Se at (0.0000, 0.0000, 0.5000) and Se at (0.0099, 0.5049, 0.9177).

The value obtained for the volume is 22.9 Å³ per atom. The calculation puts the total energy at -3.11 eV/atom. As for the magnetic moment: 0.0 μB per formula unit. The energy above the most stable polymorph in this dataset comes out at 0 meV/atom. The value obtained for the density of states at the Fermi level is 25.33 states/eV/cell. For the uncorrected formation energy, the calculation gives 0.02 eV/f.u.


No. 2
A plane-wave DFT calculation with GGA-PBE was carried out for an optimized crystal structure of NaAl2PSe6.

The space group is C2/c (No. 15) and the conventional cell measures 14.4723, 14.0609 and 7.1009 Å, with angles of 90.00, 118.01 and 90.00 degrees. The asymmetric unit holds Na at (0.0000, 0.0197, 0.2500), Al at (0.2457, 0.4217, 0.8265), P at (0.0000, 0.2535, 0.7500), Se at (0.0880, 0.1654, 0.0540), Se at (0.0886, 0.3328, 0.6103) and Se at (0.2367, 0.0684, 0.5002).

The value obtained for the volume is 31.9 Å³ per atom. The calculation puts the total energy at -4.04 eV/atom. As for the magnetic moment: 0.0 μB per formula unit. The value obtained for the density of states at the Fermi level is 0.00 states/eV/cell. For the uncorrected formation energy, the calculation gives -5.31 eV/f.u.


No. 3
A plane-wave DFT calculation with GGA-PBE was carried out for an optimized crystal structure of Cs2BrO2.

The space group is P4/mbm (No. 127) and the conventional cell measures 8.2703, 8.2703 and 4.3165 Å, with angles of 90.00, 90.00 and 90.00 degrees. The asymmetric unit holds Cs at (0.1784, 0.3216, 0.0000), Br at (0.0000, 0.0000, 0.5000) and O at (0.0997, 0.5997, 0.5000).

The value obtained for the volume is 29.5 Å³ per atom. The calculation puts the total energy at -3.23 eV/atom. As for the magnetic moment: 3.0 μB per formula unit. The energy above the most stable polymorph in this dataset comes out at 645 meV/atom. The value obtained for the density of states at the Fermi level is 3.46 states/eV/cell. For the uncorrected formation energy, the calculation gives -2.88 eV/f.u.


No. 4
A plane-wave DFT calculation with GGA-PBE was carried out for an optimized crystal structure of ZnPtSe2.

The space group is Cm (No. 8) and the conventional cell measures 11.5241, 3.7666 and 4.2592 Å, with angles of 90.00, 106.03 and 90.00 degrees. The asymmetric unit holds Zn at (0.0000, 0.0000, 0.0000), Pt at (0.2398, 0.0000, 0.1101), Se at (0.1186, 0.5000, 0.7910) and Se at (0.3715, 0.5000, 0.3667).

The value obtained for the volume is 22.2 Å³ per atom. The calculation puts the total energy at -3.91 eV/atom. As for the magnetic moment: 0.0 μB per formula unit. The value obtained for the density of states at the Fermi level is 0.35 states/eV/cell. For the uncorrected formation energy, the calculation gives -1.37 eV/f.u.


Among the records above, which one has the lowest uncorrected formation energy?
NaAl2PSe6


Among the records above, which one has the highest magnetic moment?
Cs2BrO2